Crystalline La2Mn2O5 at its relaxed geometry, computed with GGA+U.

Cell: 17.0065 5.7600 5.5240 Å, 90.00 107.45 90.00°
Space group Cc (No. 9)
One atom of each set of equivalent atoms:
La1 0.0000 0.2333 0.0000 (multiplicity 4)
La2 0.2812 0.2341 0.2111 (multiplicity 4)
Mn1 0.1420 0.2992 0.5661 (multiplicity 4)
Mn2 0.3910 0.2498 0.8592 (multiplicity 4)
O1 0.0253 0.1706 0.4773 (multiplicity 4)
O2 0.1423 0.3538 0.1830 (multiplicity 4)
O3 0.2554 0.1698 0.7538 (multiplicity 4)
O4 0.3718 0.4622 0.5511 (multiplicity 4)
O5 0.4106 0.0344 0.1642 (multiplicity 4)

* size of the total moment: 6.00 μB per formula unit
* uncorrected energy: -282.20 eV/cell